## MgNi3F (GGA+U)

Data for crystalline MgNi3F at its relaxed geometry.

Summary:
E_tot   -2.121 eV/atom
Energy above the lowest structure with this stoichiometry   0.000 eV per atom
Density   5.0 g/cm³

Cell lengths 4.164, 4.164, 4.164 Å; angles 90.00, 90.00, 90.00 degrees
Each line ends with the local moment (μB).
Sites, in units of the cell vectors:
Ni  0.500  0.000  0.000  0.95
Ni  0.000  0.000  0.500  1.02
Mg  0.500  0.500  0.500  0.00
F  0.000  0.000  0.000  0.04
Ni  0.000  0.500  0.000  0.96